## HoTe3PbAu (PBE)

Data for crystalline HoTe3PbAu at its relaxed geometry. Values from VASP.

Cell and atoms, written as Quantum ESPRESSO input:
```
&SYSTEM
  ibrav = 0, nat = 24, ntyp = 4
/
ATOMIC_SPECIES
Au 196.97 Au.upf
Ho 164.93 Ho.upf
Pb 207.20 Pb.upf
Te 127.60 Te.upf
ATOMIC_POSITIONS angstrom
Au 3.7544 2.7594 8.4169
Au 4.9110 1.8289 2.9126
Au 7.1200 9.4132 6.6069
Au 8.2766 8.4827 1.1027
Ho 2.6957 3.6443 5.2642
Ho 3.2819 2.0977 -0.1068
Ho 8.7491 9.1443 9.6264
Ho 9.3353 7.5977 4.2553
Pb 0.2692 2.1174 8.4585
Pb 5.1966 5.2603 2.0736
Pb 6.8344 5.9817 7.4459
Pb 11.7618 9.1246 1.0610
Te 2.7792 0.8759 6.6518
Te 2.4649 2.2776 10.9057
Te 2.0814 1.8807 2.7664
Te 3.3912 5.4755 7.6946
Te 5.7743 3.6726 4.8988
Te 6.2744 2.4717 0.6014
Te 5.7566 8.7703 8.9181
Te 6.2567 7.5694 4.6208
Te 8.6398 5.7665 1.8249
Te 9.9496 9.3614 6.7532
Te 9.5661 8.9644 -1.3862
Te 9.2518 10.3661 2.8677
CELL_PARAMETERS angstrom
-1.0196 3.2584 10.7064
3.1688 -2.6911 1.1208
9.8818 10.6747 -2.3077
```

Calculated values
* raw total energy: -0.15437 Ha/atom
* space-group type: Pnma (62)